[1]
Material: Na4ScIn3Si8O24
Method: DFT, meta-GGA SCAN
State: single point on PBEsol structure

Values from the calculation:
The density of states at the Fermi level comes out at 0.00 states/eV/atom. The uncorrected formation energy comes out at -2.779 eV per atom.

Cell: 12.297 9.126 9.944 Å, 90.00 123.21 90.00°
Space group C2 (No. 5)
Unique sites:
1 Na 0.000 0.000 0.000 [2 per cell]
2 Na 0.000 0.497 0.500 [2 per cell]
3 Na 0.249 0.895 0.747 [4 per cell]
4 Sc 0.000 0.091 0.500 [2 per cell]
5 In 0.000 0.592 0.000 [2 per cell]
6 In 0.249 0.301 0.749 [4 per cell]
7 Si 0.000 0.284 0.209 [4 per cell]
8 Si 0.002 0.784 0.294 [4 per cell]
9 Si 0.248 0.109 0.458 [4 per cell]
10 Si 0.249 0.612 0.957 [4 per cell]
11 O 0.029 0.944 0.667 [4 per cell]
12 O 0.036 0.445 0.180 [4 per cell]
13 O 0.047 0.274 0.666 [4 per cell]
14 O 0.049 0.779 0.168 [4 per cell]
15 O 0.115 0.210 0.965 [4 per cell]
16 O 0.116 0.706 0.464 [4 per cell]
17 O 0.135 0.185 0.284 [4 per cell]
18 O 0.135 0.689 0.786 [4 per cell]
19 O 0.197 0.116 0.579 [4 per cell]
20 O 0.202 0.616 0.083 [4 per cell]
21 O 0.215 0.448 0.570 [4 per cell]
22 O 0.215 0.951 0.072 [4 per cell]

[2]
Material: Ba2TlBr
Method: DFT, meta-GGA SCAN
State: single point on PBEsol structure

Values from the calculation:
The density of states at the Fermi level comes out at 0.93 states/eV/atom. The uncorrected formation energy comes out at -1.176 eV per atom. The relative energy among the computed polymorphs is 0.0085 eV/atom.

Cell: 4.374 5.257 6.897 Å, 90.00 90.00 90.00°
Space group Pmmm (No. 47)
Unique sites:
1 Ba 0.000 0.000 0.000 [1 per cell]
2 Ba 0.500 0.500 0.500 [1 per cell]
3 Tl 0.000 0.000 0.500 [1 per cell]
4 Br 0.500 0.500 0.000 [1 per cell]

[3]
Material: YCdHg3
Method: DFT, meta-GGA SCAN
State: single point on PBEsol structure

Values from the calculation:
The density of states at the Fermi level comes out at 1.01 states/eV/atom. As for the formation energy: 0.36 eV per atom.

Cell: 5.711 5.711 5.711 Å, 90.00 90.00 90.00°
Space group Pm-3m (No. 221)
Unique sites:
1 Y 0.000 0.000 0.000 [1 per cell]
2 Cd 0.500 0.500 0.500 [1 per cell]
3 Hg 0.000 0.000 0.500 [3 per cell]

[4]
Material: Tl2TcW
Method: DFT, meta-GGA SCAN
State: single point on PBEsol structure

Values from the calculation:
The density of states at the Fermi level comes out at 0.67 states/eV/atom. As for the formation energy: 0.56 eV per atom. The relative energy among the computed polymorphs is 0.0000 eV/atom.

Cell: 3.1187 3.1187 28.3256 Å, 90.00 90.00 120.00°
Space group R3m (No. 160, hexagonal axes)
Unique sites:
1 Tl 0.0000 0.0000 0.0000 [3 per cell]
2 Tl 0.0000 0.0000 0.2344 [3 per cell]
3 Tc 0.0000 0.0000 0.7522 [3 per cell]
4 W 0.0000 0.0000 0.4795 [3 per cell]

[5]
Material: BaTaW2
Method: DFT, meta-GGA SCAN
State: single point on PBEsol structure

Values from the calculation:
The density of states at the Fermi level comes out at 1.04 states/eV/atom. As for the formation energy: 1.34 eV per atom. The relative energy among the computed polymorphs is 0.3174 eV/atom.

Cell: 2.9246 2.9246 32.8222 Å, 90.00 90.00 120.00°
Space group R-3m (No. 166, hexagonal axes)
Unique sites:
1 Ba 0.0000 0.0000 0.0000 [3 per cell]
2 Ta 0.0000 0.0000 0.5000 [3 per cell]
3 W 0.0000 0.0000 0.2398 [6 per cell]

[6]
Material: Mg2ZnRh
Method: DFT, meta-GGA SCAN
State: single point on PBEsol structure

Values from the calculation:
The density of states at the Fermi level comes out at 0.29 states/eV/atom. As for the formation energy: -0.50 eV per atom.

Cell: 8.057 6.729 4.854 Å, 90.00 90.00 90.00°
Space group Cmcm (No. 63)
Unique sites:
1 Mg 0.183 0.153 0.250 [8 per cell]
2 Zn 0.000 0.500 0.000 [4 per cell]
3 Rh 0.000 0.176 0.750 [4 per cell]

[7]
Material: Sc4TaSe
Method: DFT, meta-GGA SCAN
State: single point on PBEsol structure

Values from the calculation:
The density of states at the Fermi level comes out at 0.76 states/eV/atom. The uncorrected formation energy comes out at 0.462 eV per atom.

Cell: 7.940 7.940 7.940 Å, 90.00 90.00 90.00°
Space group F-43m (No. 216)
Unique sites:
1 Sc 0.122 0.122 0.378 [16 per cell]
2 Ta 0.250 0.250 0.750 [4 per cell]
3 Se 0.000 0.000 0.000 [4 per cell]

[8]
Material: CoHgI2
Method: DFT, meta-GGA SCAN
State: single point on PBEsol structure

Values from the calculation:
The density of states at the Fermi level comes out at 0.28 states/eV/atom. The uncorrected formation energy comes out at 0.546 eV per atom. The relative energy among the computed polymorphs is 0.5169 eV/atom.

Cell: 7.369 7.369 7.369 Å, 90.00 90.00 90.00°
Space group Fm-3m (No. 225)
Unique sites:
1 Co 0.000 0.000 0.000 [4 per cell]
2 Hg 0.000 0.000 0.500 [4 per cell]
3 I 0.250 0.250 0.250 [8 per cell]